# 1
Tb7Pm2Th after structural relaxation, computed with PBE-GGA.

Values from the calculation:
As for the mass density: 8.21 g/cm3. The calculation puts the calculated total energy at -4.769 eV/atom. Its calculated formation energy is 164 meV per atom. The symmetry is No. 65.

The structure in extended XYZ format:
```
10
Lattice="-0.074 3.368 0.847 -6.890 -3.334 12.658 11.897 2.389 -8.460" Properties=species:S:1:pos:R:3 pbc="T T T"
Tb -3.379 -2.265 8.711
Tb 8.385 1.319 -4.513
Tb 3.017 2.010 -0.607
Tb 1.915 0.412 5.652
Tb -0.643 0.895 3.507
Tb 5.575 1.527 1.538
Tb 2.466 1.211 2.522
Pm -1.383 0.039 6.849
Pm 6.315 2.384 -1.804
Th 0.000 0.000 0.000
```

# 2
Sm2ErLu after structural relaxation, computed with PBE-GGA.

Values from the calculation:
As for the mass density: 8.45 g/cm3. The calculation puts the calculated total energy at -4.610 eV/atom. Its calculated formation energy is 21 meV per atom. The symmetry is No. 166.

The structure in extended XYZ format:
```
4
Lattice="3.561 0.000 0.000 1.780 3.084 0.000 1.780 1.028 11.501" Properties=species:S:1:pos:R:3 pbc="T T T"
Lu 3.561 2.056 5.751
Sm 5.341 3.084 8.609
Sm 1.780 1.028 2.892
Er 0.000 0.000 0.000
```

# 3
SrTl2Ir after structural relaxation, computed with PBE-GGA.

Values from the calculation:
As for the mass density: 10.46 g/cm3. The calculation puts the calculated total energy at -3.887 eV/atom. Its calculated formation energy is -68 meV per atom. The symmetry is No. 8.

The structure in extended XYZ format:
```
4
Lattice="4.770 -0.052 -0.009 2.417 4.113 -0.009 2.398 1.355 5.528" Properties=species:S:1:pos:R:3 pbc="T T T"
Ir 4.789 2.706 3.884
Sr 2.402 1.357 1.503
Tl 2.398 1.355 5.030
Tl 7.187 4.061 3.378
```

# 4
Rb2AsPbSe4 after structural relaxation, computed with PBE-GGA.

Values from the calculation:
As for the mass density: 4.20 g/cm3. As for the uncorrected formation energy: -4.312 eV per formula unit. The calculation puts the calculated total energy at -3.568 eV/atom. The symmetry is No. 70.

The structure in extended XYZ format:
```
16
Lattice="-5.228 0.953 4.052 -5.024 -6.387 0.530 3.892 -3.861 11.440" Properties=species:S:1:pos:R:3 pbc="T T T"
Rb 1.496 -2.263 7.972
Rb -2.831 -0.645 7.520
Rb -2.090 -6.006 12.492
Rb -6.883 -2.811 5.556
As -1.873 -4.885 6.998
As -2.614 0.476 2.026
Pb -4.487 -4.409 9.024
Pb 0.000 0.000 0.000
Se -5.264 -5.217 3.169
Se 1.074 -4.473 11.171
Se -5.124 -7.627 14.001
Se -3.406 -1.271 3.702
Se -4.247 -5.578 6.385
Se -1.669 -3.797 9.292
Se -5.723 -6.076 11.044
Se -1.081 -3.137 5.322
```